MnFePd6: optimized geometry, PBE.

Values from the calculation:
* space group: P4/mmm
* raw total energy: -6.27 eV per atom
* formation enthalpy at 0 K: -0.168 eV per atom

a b c (Å): 3.9050 3.9050 7.8059
angles (deg): 90.00 90.00 90.00
Last column: magnetic moment on the atom in μB.
Atoms (fractional coordinates):
1 Mn 0.0000 0.0000 0.5000  3.84
2 Fe 0.0000 0.0000 0.0000  3.28
3 Pd 0.5000 0.5000 0.0000  0.23
4 Pd 0.5000 0.5000 0.5000  0.17
5 Pd 0.5000 0.0000 0.2464  0.20
6 Pd 0.5000 0.0000 0.7536  0.20
7 Pd 0.0000 0.5000 0.2464  0.20
8 Pd 0.0000 0.5000 0.7536  0.20



Tm8PdPt2: optimized geometry, PBE.

Values from the calculation:
* space group: Cm
* raw total energy: -5.41 eV per atom
* energy above the lowest structure with this stoichiometry: 88.3 meV/atom
* formation enthalpy at 0 K: -0.585 eV per atom

a b c (Å): 5.7249 7.5960 7.5960
angles (deg): 112.88 99.87 99.87
Atoms (fractional coordinates):
1 Tm 0.5830 0.3379 0.0824
2 Tm 0.5830 0.0824 0.3379
3 Tm 0.1709 0.3676 0.3676
4 Tm 0.9907 0.2240 0.7807
5 Tm 0.9907 0.7807 0.2240
6 Tm 0.8090 0.6371 0.6371
7 Tm 0.3864 0.9237 0.6680
8 Tm 0.3864 0.6680 0.9237
9 Pd 0.1192 0.0049 0.0049
10 Pt 0.4903 0.6957 0.3119
11 Pt 0.4903 0.3119 0.6957



SrSi2Pd8: optimized geometry, PBE.

Values from the calculation:
* space group: P4/mmm
* raw total energy: -5.20 eV per atom
* formation energy (no corrections): -0.283 eV per atom

a b c (Å): 5.4926 5.4926 7.9135
angles (deg): 90.00 90.00 90.00
Atoms (fractional coordinates):
1 Sr 0.5000 0.5000 0.5000
2 Si 0.5000 0.0000 0.0000
3 Si 0.0000 0.5000 0.0000
4 Pd 0.7523 0.7523 0.1852
5 Pd 0.7523 0.2477 0.8148
6 Pd 0.7523 0.7523 0.8148
7 Pd 0.7523 0.2477 0.1852
8 Pd 0.2477 0.7523 0.1852
9 Pd 0.2477 0.7523 0.8148
10 Pd 0.2477 0.2477 0.1852
11 Pd 0.2477 0.2477 0.8148



CePd5Au7: optimized geometry, PBE.

Values from the calculation:
* space group: Imm2
* raw total energy: -4.48 eV per atom
* formation enthalpy at 0 K: -0.263 eV per atom

a b c (Å): 5.5546 7.1423 7.1423
angles (deg): 81.65 67.12 67.12
Last column: magnetic moment on the atom in μB.
Atoms (fractional coordinates):
1 Ce 0.0136 0.9864 0.9864  0.82
2 Pd 0.4960 0.0003 0.5054  0.00
3 Pd 0.9983 0.0003 0.5054  0.00
4 Pd 0.4960 0.5054 0.0003  0.00
5 Pd 0.9983 0.5054 0.0003  0.00
6 Pd 0.7211 0.7789 0.7789  -0.01
7 Au 0.6683 0.3317 0.3317  0.00
8 Au 0.3471 0.6529 0.6529  0.00
9 Au 0.9951 0.3476 0.6623  0.00
10 Au 0.9951 0.6623 0.3476  0.00
11 Au 0.2736 0.2264 0.2264  0.00
12 Au 0.4987 0.7943 0.2082  0.00
13 Au 0.4987 0.2082 0.7943  0.00



Pr4NdDy2Tm: optimized geometry, PBE.

Values from the calculation:
* space group: Pmmm
* raw total energy: -4.68 eV per atom
* formation enthalpy at 0 K: 0.015 eV per atom

a b c (Å): 5.1883 5.1567 11.4070
angles (deg): 63.12 90.00 90.00
Atoms (fractional coordinates):
1 Pr 0.0000 0.7530 0.7471
2 Pr 0.0000 0.2470 0.2529
3 Pr 0.5000 0.7465 0.2533
4 Pr 0.5000 0.2535 0.7467
5 Nd 0.5000 0.5000 0.0000
6 Dy 0.0000 0.0000 0.0000
7 Dy 0.5000 0.0000 0.5000
8 Tm 0.0000 0.5000 0.5000



AlCdFe2: optimized geometry, PBE.

Values from the calculation:
* space group: I-42d
* raw total energy: -4.75 eV per atom
* energy above the lowest structure with this stoichiometry: 591.8 meV/atom
* formation enthalpy at 0 K: 0.641 eV per atom

a b c (Å): 3.8316 3.8316 9.1745
angles (deg): 77.95 77.95 90.00
Atoms (fractional coordinates):
1 Al 0.5000 0.5000 0.0000
2 Al 0.2500 0.7500 0.5000
3 Fe 0.5055 0.1250 0.2500
4 Fe 0.2445 0.6250 0.2500
5 Fe 0.3750 0.4945 0.7500
6 Fe 0.8750 0.7555 0.7500
7 Cd 0.0000 0.0000 0.0000
8 Cd 0.7500 0.2500 0.5000



Li3CdN: optimized geometry, PBE.

Values from the calculation:
* space group: Pm-3m
* raw total energy: -3.20 eV per atom
* formation energy (no corrections): -0.208 eV per atom
* energy above the lowest structure with this stoichiometry: 0.0 meV/atom

a b c (Å): 4.0852 4.0852 4.0852
angles (deg): 90.00 90.00 90.00
Atoms (fractional coordinates):
1 N 0.0000 0.0000 0.0000
2 Li 0.0000 0.5000 0.0000
3 Li 0.0000 0.0000 0.5000
4 Li 0.5000 0.0000 0.0000
5 Cd 0.5000 0.5000 0.5000



GaAu2I2: optimized geometry, PBE.

Values from the calculation:
* space group: I4/mmm
* raw total energy: -2.42 eV per atom
* formation energy (no corrections): 0.112 eV per atom
* energy above the lowest structure with this stoichiometry: 0.0 meV/atom

a b c (Å): 6.0112 6.0112 5.8312
angles (deg): 58.97 58.97 90.00
Atoms (fractional coordinates):
1 I 0.7500 0.2500 0.5000
2 I 0.2500 0.7500 0.5000
3 Au 0.3215 0.3215 0.3569
4 Au 0.6785 0.6785 0.6431
5 Ga 0.0000 0.0000 0.0000



Ac2HgAu3: optimized geometry, PBE.

Values from the calculation:
* space group: Fmmm
* raw total energy: -3.80 eV per atom
* energy above the lowest structure with this stoichiometry: 0.0 meV/atom
* formation enthalpy at 0 K: -0.744 eV per atom

a b c (Å): 6.3267 6.3267 9.2907
angles (deg): 105.44 105.44 102.61
Atoms (fractional coordinates):
1 Ac 0.2500 0.7500 0.5000
2 Ac 0.7548 0.7548 0.0000
3 Ac 0.7500 0.2500 0.5000
4 Ac 0.2452 0.2452 0.0000
5 Hg 0.6665 0.6665 0.3329
6 Hg 0.3335 0.3335 0.6671
7 Au 0.3331 0.8341 0.1672
8 Au 0.1659 0.6669 0.8328
9 Au 0.6669 0.1659 0.8328
10 Au 0.8341 0.3331 0.1672
11 Au 0.1650 0.1650 0.3299
12 Au 0.8350 0.8350 0.6701



LiPmYMn: optimized geometry, PBE.

Values from the calculation:
* space group: F-43m
* raw total energy: -5.43 eV per atom
* formation enthalpy at 0 K: 0.142 eV per atom

a b c (Å): 5.1181 5.1181 5.1181
angles (deg): 60.00 60.00 60.00
Last column: magnetic moment on the atom in μB.
Atoms (fractional coordinates):
1 Y 0.2500 0.2500 0.2500  -0.24
2 Mn 0.5000 0.5000 0.5000  3.33
3 Li 0.0000 0.0000 0.0000  -0.06
4 Pm 0.7500 0.7500 0.7500  -0.23



Na2DyAlSe4: optimized geometry, PBE.

Values from the calculation:
* space group: Imma
* raw total energy: -4.40 eV per atom
* formation energy (no corrections): -1.286 eV per atom

a b c (Å): 8.1390 8.1390 8.3241
angles (deg): 120.76 120.76 90.36
Atoms (fractional coordinates):
1 Na 0.5000 0.0000 0.0000
2 Na 0.5000 0.0000 0.5000
3 Na 0.0000 0.0000 0.5000
4 Na 0.5000 0.5000 0.0000
5 Dy 0.0000 0.5000 0.0000
6 Dy 0.0000 0.5000 0.5000
7 Al 0.5000 0.5000 0.5000
8 Al 0.0000 0.0000 0.0000
9 Se 0.2304 0.7612 0.9958
10 Se 0.7388 0.2696 0.5042
11 Se 0.2612 0.7304 0.4958
12 Se 0.7696 0.2388 0.0042
13 Se 0.7517 0.7487 0.9627
14 Se 0.7513 0.7483 0.5373
15 Se 0.2487 0.2517 0.4627
16 Se 0.2483 0.2513 0.0373



Na3ZnAg3F8: optimized geometry, PBE.

Values from the calculation:
* space group: C2/m
* raw total energy: -3.87 eV per atom
* formation energy (no corrections): -1.949 eV per atom

a b c (Å): 6.6776 6.6491 7.1189
angles (deg): 119.55 90.00 120.14
Atoms (fractional coordinates):
1 Na 0.5000 0.0000 0.5000
2 Na 0.5000 0.5000 0.5000
3 Na 0.0000 0.5000 0.5000
4 Zn 0.0000 0.0000 0.5000
5 Ag 0.0000 0.0000 0.0000
6 Ag 0.0000 0.5000 0.0000
7 Ag 0.5000 0.5000 0.0000
8 F 0.2557 0.5113 0.2839
9 F 0.7443 0.4887 0.7161
10 F 0.7825 0.5650 0.3009
11 F 0.2175 0.4350 0.6991
12 F 0.7784 0.0053 0.2980
13 F 0.2216 0.9947 0.7020
14 F 0.2269 0.0053 0.2980
15 F 0.7731 0.9947 0.7020



The lowest raw total energy belongs to which entry?
MnFePd6